1.
A relaxed structure of TbCeAlGa, computed with PBE.

Structure (POSCAR):
```
TbCeAlGa
1.0
0.0000 3.6339 3.6339
3.6339 0.0000 3.6339
3.6339 3.6339 0.0000
Tb Ce Al Ga
1 1 1 1
Direct
0.0000 0.0000 0.0000
0.5000 0.5000 0.5000
0.7500 0.7500 0.7500
0.2500 0.2500 0.2500
```

Results
Total DFT energy (no corrections)   -4.753 eV per atom
Volume   96.0 Å³/f.u.

=====

2.
A relaxed structure of Ce6P2SeS3, computed with PBE.

Structure (POSCAR):
```
Ce6P2SeS3
1.0
8.8729 -2.0386 0.0000
8.8729 2.0386 0.0000
-1.8348 0.0000 7.9481
Ce P Se S
6 2 1 3
Direct
0.0009 0.0009 0.2605
0.3297 0.3297 0.9132
0.3328 0.3328 0.4178
0.6672 0.6672 0.5822
0.6703 0.6703 0.0868
0.9991 0.9991 0.7395
0.1668 0.1668 0.3330
0.8332 0.8332 0.6670
0.5000 0.5000 0.0000
0.1655 0.1655 0.8329
0.5000 0.5000 0.5000
0.8345 0.8345 0.1671
```

Results
Energy relative to the elements, uncorrected   -1.840 eV per atom
Volume   287.5 Å³/f.u.

=====

3.
A relaxed structure of NaPrAlCd, computed with PBE.

Structure (POSCAR):
```
NaPrAlCd
1.0
0.0000 3.6312 3.6312
3.6312 0.0000 3.6312
3.6312 3.6312 0.0000
Na Pr Al Cd
1 1 1 1
Direct
0.0000 0.0000 0.0000
0.7500 0.7500 0.7500
0.5000 0.5000 0.5000
0.2500 0.2500 0.2500
```

Results
Total DFT energy (no corrections)   -2.791 eV per atom
Volume   95.8 Å³/f.u.

=====

4.
A relaxed structure of Tl3RhI, computed with PBE.

Structure (POSCAR):
```
Tl3RhI
1.0
7.1132 -6.3490 0.0000
7.1132 6.3490 0.0000
-2.8184 0.0000 6.5909
Tl Rh I
12 4 4
Direct
0.0130 0.6653 0.8786
0.0184 0.1636 0.4732
0.1636 0.0184 0.9732
0.2124 0.5891 0.3287
0.3347 0.9870 0.6214
0.4109 0.7876 0.1713
0.5891 0.2124 0.8287
0.6653 0.0130 0.3786
0.7876 0.4109 0.6713
0.8364 0.9816 0.0268
0.9816 0.8364 0.5268
0.9870 0.3347 0.1214
0.1211 0.8789 0.2500
0.2619 0.7381 0.7500
0.7381 0.2619 0.2500
0.8789 0.1211 0.7500
0.2724 0.4387 0.7371
0.4387 0.2724 0.2371
0.5613 0.7276 0.7629
0.7276 0.5613 0.2629
```

Results
Energy relative to the elements, uncorrected   -0.032 eV per atom
Relative energy among the computed polymorphs   1.16 eV/f.u.
Volume   148.8 Å³/f.u.

=====

5.
A relaxed structure of YTcGe2, computed with PBE.

Structure (POSCAR):
```
YTcGe2
1.0
0.0000 3.2892 3.2892
3.2892 0.0000 3.2892
3.2892 3.2892 0.0000
Y Tc Ge
1 1 2
Direct
0.0000 0.0000 0.0000
0.5000 0.5000 0.5000
0.2500 0.2500 0.2500
0.7500 0.7500 0.7500
```

Results
Relative energy among the computed polymorphs   0.92 eV/f.u.
Volume   71.2 Å³/f.u.

=====

6.
A relaxed structure of GaSI2N, computed with PBE.

Structure (POSCAR):
```
GaSI2N
1.0
6.3462 0.0000 0.0000
0.0000 6.3462 0.0000
0.0000 0.0000 3.3903
Ga S I N
1 1 2 1
Direct
0.0000 0.0000 0.0000
0.5000 0.5000 0.5000
0.0000 0.5000 0.5000
0.5000 0.0000 0.5000
0.5000 0.5000 0.0000
```

Results
Energy relative to the elements, uncorrected   0.592 eV per atom
Relative energy among the computed polymorphs   0.00 eV/f.u.
Volume   136.5 Å³/f.u.

=====

7.
A relaxed structure of CaLa2RuPb, computed with PBE.

Structure (POSCAR):
```
CaLa2RuPb
1.0
5.4472 0.0000 0.0000
0.0000 5.4472 0.0000
0.0000 0.0000 5.5429
Ca La Ru Pb
1 2 1 1
Direct
0.0000 0.0000 0.0000
0.0000 0.5000 0.5000
0.5000 0.0000 0.5000
0.5000 0.5000 0.5000
0.5000 0.5000 0.0000
```

Results
Relative energy among the computed polymorphs   0.49 eV/f.u.
Volume   164.5 Å³/f.u.

=====

8.
A relaxed structure of BeSnSeBr2, computed with PBE.

Structure (POSCAR):
```
BeSnSeBr2
1.0
4.7341 0.0000 0.0000
0.0000 4.7341 0.0000
0.0000 0.0000 5.1021
Be Sn Se Br
1 1 1 2
Direct
0.0000 0.0000 0.0000
0.5000 0.5000 0.5000
0.0000 0.0000 0.5000
0.0000 0.5000 0.0000
0.5000 0.0000 0.0000
```

Results
Energy relative to the elements, uncorrected   -0.289 eV per atom
Relative energy among the computed polymorphs   0.00 eV/f.u.
Volume   114.3 Å³/f.u.

=====

9.
A relaxed structure of La6TeIr2I3, computed with PBE.

Structure (POSCAR):
```
La6TeIr2I3
1.0
3.8241 -6.6316 0.0000
3.8241 6.6316 0.0000
-2.5482 0.0000 8.0883
La Te Ir I
6 1 2 3
Direct
0.0657 0.4325 0.8051
0.1972 0.1972 0.1933
0.4325 0.0657 0.8051
0.5675 0.9343 0.1949
0.8028 0.8028 0.8067
0.9343 0.5675 0.1949
0.5000 0.5000 0.0000
0.1677 0.8323 0.0000
0.8323 0.1677 0.0000
0.0000 0.0000 0.5000
0.3418 0.6582 0.5000
0.6582 0.3418 0.5000
```

Results
Energy relative to the elements, uncorrected   -1.159 eV per atom
Volume   410.2 Å³/f.u.

=====

10.
A relaxed structure of BaSbCl2, computed with PBE.

Structure (POSCAR):
```
BaSbCl2
1.0
1.8823 1.0867 10.6181
-1.8823 1.0867 10.6181
0.0000 -2.1735 10.6181
Ba Sb Cl
1 1 2
Direct
0.0000 0.0000 0.0000
0.5000 0.5000 0.5000
0.0924 0.0924 0.0924
0.9076 0.9076 0.9076
```

Results
Energy relative to the elements, uncorrected   -0.501 eV per atom
Relative energy among the computed polymorphs   3.20 eV/f.u.
Volume   130.3 Å³/f.u.

=====

11.
A relaxed structure of Mg5Tl2In, computed with PBE.

Structure (POSCAR):
```
Mg5Tl2In
1.0
-3.3712 4.1870 3.3958
3.3712 -4.1870 3.3958
3.3712 4.1870 -3.3958
Mg Tl In
5 2 1
Direct
0.0000 0.0000 0.0000
0.4992 0.4977 0.5017
0.4992 0.9975 0.0015
0.9960 0.4977 0.9985
0.9960 0.9975 0.4983
0.4962 0.9962 0.5000
0.9984 0.4984 0.5000
0.4955 0.4955 0.0000
```

Results
Relative energy among the computed polymorphs   0.07 eV/f.u.
Volume   191.7 Å³/f.u.

=====

12.
A relaxed structure of TaAl2Os, computed with PBE.

Structure (POSCAR):
```
TaAl2Os
1.0
1.4376 0.8300 8.9307
-1.4376 0.8300 8.9307
0.0000 -1.6600 8.9307
Ta Al Os
1 2 1
Direct
0.0000 0.0000 0.0000
0.2455 0.2455 0.2455
0.4925 0.4925 0.4925
0.7494 0.7494 0.7494
```

Results
Relative energy among the computed polymorphs   1.10 eV/f.u.
Volume   63.9 Å³/f.u.

=====

13.
A relaxed structure of Ho5AlRu, computed with PBE.

Structure (POSCAR):
```
Ho5AlRu
1.0
4.5423 -3.6842 0.0000
4.5423 3.6842 0.0000
-3.2564 0.0000 11.1393
Ho Al Ru
10 2 2
Direct
0.0013 0.9987 0.7500
0.0845 0.4191 0.6263
0.2088 0.5412 0.9355
0.4191 0.0845 0.1263
0.4588 0.7912 0.5645
0.5412 0.2088 0.4355
0.5809 0.9155 0.8737
0.7912 0.4588 0.0645
0.9155 0.5809 0.3737
0.9987 0.0013 0.2500
0.4042 0.5958 0.2500
0.5958 0.4042 0.7500
0.0000 0.0000 0.0000
0.0000 0.0000 0.5000
```

Results
Total DFT energy (no corrections)   -5.250 eV per atom
Volume   186.4 Å³/f.u.

=====

14.
A relaxed structure of Ga6Ni12Pt, computed with PBE.

Structure (POSCAR):
```
Ga6Ni12Pt
1.0
5.3470 3.0871 2.5515
-5.3470 3.0871 2.5515
0.0000 -6.1742 2.5515
Ga Ni Pt
6 12 1
Direct
0.2903 0.2903 0.7002
0.2903 0.7002 0.2903
0.2998 0.7097 0.7097
0.7002 0.2903 0.2903
0.7097 0.2998 0.7097
0.7097 0.7097 0.2998
0.1154 0.3547 0.3547
0.1167 0.5000 0.8833
0.1167 0.8833 0.5000
0.3547 0.1154 0.3547
0.3547 0.3547 0.1154
0.5000 0.1167 0.8833
0.5000 0.8833 0.1167
0.6453 0.6453 0.8846
0.6453 0.8846 0.6453
0.8833 0.1167 0.5000
0.8833 0.5000 0.1167
0.8846 0.6453 0.6453
0.0000 0.0000 0.0000
```

Results
Total DFT energy (no corrections)   -4.973 eV per atom
Volume   252.7 Å³/f.u.

=====

15.
A relaxed structure of HfZrAg2, computed with PBE.

Structure (POSCAR):
```
HfZrAg2
1.0
3.0439 0.0000 0.0000
0.0000 3.0439 0.0000
0.0000 0.0000 8.5576
Hf Zr Ag
1 1 2
Direct
0.0000 0.0000 0.0000
0.0000 0.0000 0.5000
0.5000 0.5000 0.2454
0.5000 0.5000 0.7546
```

Results
Relative energy among the computed polymorphs   0.55 eV/f.u.
Volume   79.3 Å³/f.u.

=====

16.
A relaxed structure of KAsOF4, computed with PBE.

Structure (POSCAR):
```
KAsOF4
1.0
5.0907 0.0000 0.0000
0.0000 6.1723 0.0000
-2.2840 0.0000 13.4954
K As O F
4 4 4 16
Direct
0.0930 0.1307 0.1508
0.0930 0.3693 0.6508
0.9070 0.6307 0.3492
0.9070 0.8693 0.8492
0.4867 0.6159 0.0835
0.4867 0.8841 0.5835
0.5133 0.1159 0.4165
0.5133 0.3841 0.9165
0.3044 0.1053 0.5127
0.3044 0.3947 0.0127
0.6956 0.6053 0.9873
0.6956 0.8947 0.4873
0.2674 0.6081 0.1726
0.2674 0.8919 0.6726
0.2758 0.6713 0.5228
0.2758 0.8287 0.0228
0.3036 0.5709 0.8352
0.3036 0.9291 0.3352
0.3190 0.1733 0.8490
0.3190 0.3267 0.3490
0.6810 0.6733 0.6510
0.6810 0.8267 0.1510
0.6964 0.0709 0.6648
0.6964 0.4291 0.1648
0.7242 0.1713 0.9772
0.7242 0.3287 0.4772
0.7326 0.1081 0.3274
0.7326 0.3919 0.8274
```

Results
Energy relative to the elements, uncorrected   -2.238 eV per atom
Relative energy among the computed polymorphs   0.05 eV/f.u.
Volume   106.0 Å³/f.u.

=====

17.
A relaxed structure of TaInBr, computed with PBE.

Structure (POSCAR):
```
TaInBr
1.0
0.0000 3.2910 3.2910
3.2910 0.0000 3.2910
3.2910 3.2910 0.0000
Ta In Br
1 1 1
Direct
0.0000 0.0000 0.0000
0.5000 0.5000 0.5000
0.2500 0.2500 0.2500
```

Results
Energy relative to the elements, uncorrected   1.256 eV per atom
Relative energy among the computed polymorphs   3.66 eV/f.u.
Volume   71.3 Å³/f.u.

=====

18.
A relaxed structure of Cs3LaPu2Se6, computed with PBE.

Structure (POSCAR):
```
Cs3LaPu2Se6
1.0
3.8105 -6.5997 0.0000
3.8105 6.5997 0.0000
-2.5411 0.0000 8.3544
Cs La Pu Se
3 1 2 6
Direct
0.0000 0.0000 0.0000
0.3352 0.6648 0.0000
0.6648 0.3352 0.0000
0.5000 0.5000 0.5000
0.1668 0.8332 0.5000
0.8332 0.1668 0.5000
0.0951 0.4377 0.3132
0.2194 0.2194 0.6859
0.4377 0.0951 0.3132
0.5623 0.9049 0.6868
0.7806 0.7806 0.3141
0.9049 0.5623 0.6868
```

Results
Energy relative to the elements, uncorrected   -1.550 eV per atom
Volume   420.2 Å³/f.u.

=====

19.
A relaxed structure of Zr3Co6Ge2, computed with PBE.

Structure (POSCAR):
```
Zr3Co6Ge2
1.0
-4.2665 4.2665 4.2665
4.2665 -4.2665 4.2665
4.2665 4.2665 -4.2665
Zr Co Ge
6 12 4
Direct
0.0000 0.2817 0.2817
0.0000 0.7183 0.7183
0.2817 0.0000 0.2817
0.2817 0.2817 0.0000
0.7183 0.0000 0.7183
0.7183 0.7183 0.0000
0.0000 0.3475 0.6525
0.0000 0.6525 0.3475
0.3049 0.6525 0.6525
0.3475 0.0000 0.6525
0.3475 0.3475 0.6951
0.3475 0.6525 0.0000
0.3475 0.6951 0.3475
0.6525 0.0000 0.3475
0.6525 0.3049 0.6525
0.6525 0.3475 0.0000
0.6525 0.6525 0.3049
0.6951 0.3475 0.3475
0.0000 0.0000 0.5000
0.0000 0.5000 0.0000
0.5000 0.0000 0.0000
0.5000 0.5000 0.5000
```

Results
Total DFT energy (no corrections)   -7.527 eV per atom
Volume   155.3 Å³/f.u.

=====

20.
A relaxed structure of La2Y2Th, computed with PBE.

Structure (POSCAR):
```
La2Y2Th
1.0
-1.8287 1.8287 12.7721
1.8287 -1.8287 12.7721
1.8287 1.8287 -12.7721
La Y Th
2 2 1
Direct
0.1991 0.1991 0.0000
0.8009 0.8009 0.0000
0.4071 0.4071 0.0000
0.5929 0.5929 0.0000
0.0000 0.0000 0.0000
```

Results
Relative energy among the computed polymorphs   0.00 eV/f.u.
Volume   170.8 Å³/f.u.

=====

21.
A relaxed structure of CrTcHRu2, computed with PBE.

Structure (POSCAR):
```
CrTcHRu2
1.0
3.8464 0.0000 0.0000
0.0000 3.8464 0.0000
0.0000 0.0000 3.8163
Cr Tc H Ru
1 1 1 2
Direct
0.0000 0.0000 0.0000
0.5000 0.5000 0.0000
0.0000 0.0000 0.5000
0.0000 0.5000 0.5000
0.5000 0.0000 0.5000
```

Results
Relative energy among the computed polymorphs   0.00 eV/f.u.
Volume   56.5 Å³/f.u.

=====

22.
A relaxed structure of Cs2AlSI6, computed with PBE.

Structure (POSCAR):
```
Cs2AlSI6
1.0
-4.0428 4.0428 6.3896
4.0428 -4.0428 6.3896
4.0428 4.0428 -6.3896
Cs Al S I
2 1 1 6
Direct
0.2500 0.7500 0.5000
0.7500 0.2500 0.5000
0.0000 0.0000 0.0000
0.5000 0.5000 0.0000
0.2147 0.2147 0.0000
0.2535 0.2535 0.5071
0.2535 0.7465 0.0000
0.7465 0.2535 0.0000
0.7465 0.7465 0.4929
0.7853 0.7853 0.0000
```

Results
Energy relative to the elements, uncorrected   -0.682 eV per atom
Volume   417.7 Å³/f.u.

=====

23.
A relaxed structure of ZrNbNi2, computed with PBE.

Structure (POSCAR):
```
ZrNbNi2
1.0
2.1321 1.2310 4.0831
-2.1321 1.2310 4.0831
0.0000 -2.4620 4.0831
Zr Nb Ni
1 1 2
Direct
0.0000 0.0000 0.0000
0.5000 0.5000 0.5000
0.2236 0.2236 0.2236
0.7764 0.7764 0.7764
```

Results
Relative energy among the computed polymorphs   0.04 eV/f.u.
Volume   64.3 Å³/f.u.